Below is crystalline K2BiBr2O2 at its relaxed geometry, with properties calculated at the GGA-PBE level.

extended XYZ file:
```
7
Lattice="4.451 0.000 0.000 0.000 4.451 0.000 -2.225 -2.225 8.799" Properties=species:S:1:pos:R:3 pbc="T T T"
O 2.225 0.000 0.000
O 0.000 2.225 0.000
K 0.000 0.000 6.786
K 2.225 2.225 2.014
Br 0.000 0.000 2.933
Br 2.225 2.225 5.866
Bi 0.000 0.000 0.000
```

Calculated values
Symmetry ... No. 139
Formation energy from raw total energies ... -9.17 eV per formula unit
E ... -4.07 eV per atom
Fermi-level density of states ... 0.63 states/eV/cell